# 1
{"formula": "MnSiHg2", "functional": "PBE", "state": "relaxed", "dos_ef_per_ev_cell": 2.471, "e_form_raw_ev_per_atom": 0.491, "energy_ev_per_cell": -13.2, "lattice_angstrom": [[-0.1940, 1.8936, -2.3589], [-2.5987, 1.1055, 1.1012], [4.3151, 5.8329, 4.3275]], "species": ["Hg", "Hg", "Mn", "Si"], "frac_coords": [[0.0000, 0.0000, 0.0150], [0.0000, 0.0000, 0.4850], [0.5000, 0.5000, 0.2500], [0.5000, 0.5000, 0.7500]]}

---

# 2
{"formula": "MnSi2Hg", "functional": "PBE", "state": "relaxed", "dos_ef_per_ev_cell": 1.469, "e_form_raw_ev_per_atom": 0.160, "energy_ev_per_cell": -19.7, "lattice_angstrom": [[-3.6304, 2.0005, 0.3402], [-2.9617, 0.3130, 2.9031], [-0.1225, 5.0305, 3.3441]], "species": ["Hg", "Mn", "Si", "Si"], "frac_coords": [[0.5610, 0.5610, 0.4905], [0.3040, 0.3040, 0.0127], [0.9551, 0.9551, 0.1629], [0.6800, 0.6800, 0.8339]]}